# Sb4TeIr

Crystalline Sb4TeIr at its relaxed geometry (PBE-GGA, Alexandria via LeMat-Bulk).

Values from the calculation:
D(E_F): 1.172 states/eV/atom
ρ: 8.374 g/cm3
formation energy (no corrections): 951.1 meV/atom
magnetic moment: 0.0 μB/cell

Lattice parameters (Å, degrees): 6.0936 6.0936 6.0936 60.00 60.00 60.00
Positions (direct):
Sb1 0.8767 0.3744 0.3744
Sb2 0.3744 0.3744 0.8767
Sb3 0.3744 0.8767 0.3744
Sb4 0.3744 0.3744 0.3744
Te1 0.7500 0.7500 0.7500
Ir1 0.0000 0.0000 0.0000

=====

# Sb2TeIr

Crystalline Sb2TeIr at its relaxed geometry (PBE-GGA, Alexandria via LeMat-Bulk).

Values from the calculation:
D(E_F): 0.542 states/eV/atom
ρ: 9.364 g/cm3
formation energy (no corrections): -22.2 meV/atom
magnetic moment: 0.0 μB/cell

Lattice parameters (Å, degrees): 7.6365 7.6365 7.6365 30.21 30.21 30.21
Positions (direct):
Ir1 0.7500 0.7500 0.7500
Sb1 0.0179 0.0179 0.0179
Sb2 0.4821 0.4821 0.4821
Te1 0.2500 0.2500 0.2500